First-principles (PBE with a Hubbard U) data for a geometry-optimized AcPmMoO6 structure, as listed in Alexandria.

a = 5.7069 Å, b = 5.7069 Å, c = 5.1880 Å
α = 90.00°, β = 90.00°, γ = 120.00°
Space group P312 (No. 149)
One atom of each set of equivalent atoms:
Ac 0.0000 0.0000 0.0000 [1 per cell]
Pm 0.3333 0.6667 0.5000 [1 per cell]
Mo 0.6667 0.3333 0.5000 [1 per cell]
O 0.3848 0.0480 0.7134 [6 per cell]

---

First-principles (PBE with a Hubbard U) data for a geometry-optimized Ac2PmMoO6 structure, as listed in Alexandria.

a = 6.0001 Å, b = 6.1959 Å, c = 10.4366 Å
α = 90.00°, β = 124.54°, γ = 90.00°
Space group P2_1/c (No. 14)
One atom of each set of equivalent atoms:
Ac 0.2347 0.0507 0.2497 [4 per cell]
Pm 0.5000 0.0000 0.0000 [2 per cell]
Mo 0.0000 0.0000 0.5000 [2 per cell]
O 0.1277 0.2081 0.9389 [4 per cell]
O 0.2316 0.6938 0.9400 [4 per cell]
O 0.3543 0.0482 0.7402 [4 per cell]

---

Number 1: raw total energy -7.718 eV/atom, magnetic moment 0.000 μB per atom. Number 2: raw total energy -7.920 eV/atom, magnetic moment 0.300 μB per atom.